Entry 1:
Computed, not measured: a relaxed HfMoIr3 crystal at the PBEsol level of DFT.

D(E_F) (states/eV/cell): 6.6
Total energy (eV per atom): -8.430
Total magnetization (Bohr magnetons per cell): 3.2
Energy relative to the elements (eV/atom): 1.92
Space group: Pm-3m

Lattice parameters (Å, degrees): 4.6884 4.6884 4.6884 90.00 90.00 90.00
Fractional positions:
Ir 0.5000 0.0000 0.0000
Ir 0.0000 0.0000 0.5000
Ir 0.0000 0.5000 0.0000
Hf 0.0000 0.0000 0.0000
Mo 0.5000 0.5000 0.5000



Entry 2:
Computed, not measured: a relaxed HfZnMoIr2 crystal at the PBEsol level of DFT.

D(E_F) (states/eV/cell): 4.6
Total energy (eV per atom): -6.925
Total magnetization (Bohr magnetons per cell): 3.6
Energy relative to the elements (eV/atom): 1.77
Space group: P4/mmm

Lattice parameters (Å, degrees): 4.7173 4.7173 4.7721 90.00 90.00 90.00
Fractional positions:
Ir 0.5000 0.0000 0.0000
Ir 0.0000 0.5000 0.0000
Hf 0.0000 0.0000 0.0000
Mo 0.5000 0.5000 0.5000
Zn 0.0000 0.0000 0.5000



Entry 3:
Computed, not measured: a relaxed HfIr3N crystal at the PBEsol level of DFT.

D(E_F) (states/eV/cell): 6.6
Total energy (eV per atom): -6.716
Formation energy from raw total energies (kJ/mol of atoms): 287.96
Total magnetization (Bohr magnetons per cell): 4.4
Space group: Pm-3m

Lattice parameters (Å, degrees): 4.8048 4.8048 4.8048 90.00 90.00 90.00
Fractional positions:
N 0.5000 0.5000 0.5000
Ir 0.0000 0.5000 0.0000
Ir 0.0000 0.0000 0.5000
Ir 0.5000 0.0000 0.0000
Hf 0.0000 0.0000 0.0000



Entry 4:
Computed, not measured: a relaxed Hf3IrN crystal at the PBEsol level of DFT.

D(E_F) (states/eV/cell): 6.9
Total energy (eV per atom): -11.251
Formation energy from raw total energies (kJ/mol of atoms): -123.46
Total magnetization (Bohr magnetons per cell): 0.0
Space group: Pnma

Lattice parameters (Å, degrees): 6.1126 6.1396 8.5976 90.00 90.00 90.00
Fractional positions:
Hf 0.7167 0.7159 0.5467
Hf 0.4135 0.0169 0.7500
Hf 0.2167 0.7841 0.4533
Hf 0.5865 0.9831 0.2500
Hf 0.7833 0.2159 0.5467
Hf 0.2833 0.2841 0.4533
Hf 0.0865 0.5169 0.7500
Hf 0.2833 0.2841 0.0467
Hf 0.9135 0.4831 0.2500
Hf 0.7833 0.2159 0.9533
Hf 0.2167 0.7841 0.0467
Hf 0.7167 0.7159 0.9533
N 0.5000 0.0000 0.5000
N 0.5000 0.0000 0.0000
N 0.0000 0.5000 0.0000
N 0.0000 0.5000 0.5000
Ir 0.4881 0.5376 0.2500
Ir 0.5119 0.4624 0.7500
Ir 0.0119 0.0376 0.2500
Ir 0.9881 0.9624 0.7500